[1]
Entry from the Alexandria database: a relaxed La2Pm2Pr3 crystal (PBE).

DFT formation energy	0.1	eV/f.u.

Unit cell a=3.708 b=6.404 c=11.152 alpha=84.42 beta=89.88 gamma=73.25
Space group P-1 (No. 2)
Asymmetric unit:
La  0.215  0.070  0.356 [2 per cell]
Pm  0.070  0.359  0.787 [2 per cell]
Pr  0.357  0.785  0.929 [2 per cell]
Pr  0.500  0.500  0.500 [1 per cell]

***

[2]
Entry from the Alexandria database: a relaxed Tl2Pb2S crystal (PBE).

raw formation energy	-0.012	eV per atom

Unit cell a=7.669 b=7.669 c=5.320 alpha=90.00 beta=90.00 gamma=90.00
Space group P4/mbm (No. 127)
Asymmetric unit:
Tl  0.160  0.340  0.000 [4 per cell]
Pb  0.159  0.659  0.500 [4 per cell]
S  0.000  0.000  0.500 [2 per cell]

***

[3]
Entry from the Alexandria database: a relaxed Er2TiGa crystal (PBE).

DFT formation energy	0.9	eV/f.u.

Unit cell a=3.3008 b=3.3008 c=31.6816 alpha=90.00 beta=90.00 gamma=120.00
Space group R-3m (No. 166, hexagonal axes)
Asymmetric unit:
Er  0.0000  0.0000  0.0938 [6 per cell]
Ti  0.0000  0.0000  0.0000 [3 per cell]
Ga  0.0000  0.0000  0.5000 [3 per cell]

***

[4]
Entry from the Alexandria database: a relaxed Sn5Hg3Br16 crystal (PBE).

raw formation energy	-0.618	eV per atom

Unit cell a=14.956 b=8.536 c=13.685 alpha=90.00 beta=90.67 gamma=90.00
Space group Cm (No. 8)
Asymmetric unit:
Sn  0.000  0.000  0.000 [2 per cell]
Sn  0.005  0.500  0.236 [2 per cell]
Sn  0.085  0.252  0.736 [4 per cell]
Sn  0.333  0.000  0.494 [2 per cell]
Hg  0.255  0.249  0.235 [4 per cell]
Hg  0.337  0.500  0.738 [2 per cell]
Br  0.008  0.500  0.606 [2 per cell]
Br  0.094  0.257  0.118 [4 per cell]
Br  0.158  0.000  0.871 [2 per cell]
Br  0.176  0.500  0.349 [2 per cell]
Br  0.176  0.500  0.857 [2 per cell]
Br  0.180  0.000  0.355 [2 per cell]
Br  0.253  0.261  0.624 [4 per cell]
Br  0.326  0.000  0.119 [2 per cell]
Br  0.330  0.500  0.125 [2 per cell]
Br  0.407  0.240  0.366 [4 per cell]
Br  0.418  0.269  0.865 [4 per cell]
Br  0.494  0.500  0.616 [2 per cell]

***

no.,volume (Å³/cell)
1,252
2,313
3,299
4,1747